No. 1
! SiRhPb2, optimized geometry, DFT PBE; values from VASP
&SYSTEM
  ibrav = 0, nat = 4, ntyp = 3
/
ATOMIC_SPECIES
Si 28.09 Si.upf
Rh 102.91 Rh.upf
Pb 207.20 Pb.upf
CELL_PARAMETERS angstrom
4.381 0.000 0.000
0.000 3.990 0.000
-2.140 0.000 5.135
ATOMIC_POSITIONS crystal
Si 0.000 0.000 0.000
Rh 0.116 0.500 0.241
Pb 0.413 0.500 0.830
Pb 0.707 0.000 0.423
! Uncorrected formation energy = -0.034 eV per atom
! SG = Pm
! Total DFT energy (no corrections) = -20.33 eV per cell
! Total magnetic moment = 0.0000 μB/atom

=====

No. 2
! Si2RhPb, optimized geometry, DFT PBE; values from VASP
&SYSTEM
  ibrav = 0, nat = 4, ntyp = 3
/
ATOMIC_SPECIES
Si 28.09 Si.upf
Rh 102.91 Rh.upf
Pb 207.20 Pb.upf
CELL_PARAMETERS angstrom
2.704 -3.790 0.000
2.704 3.790 0.000
0.000 0.000 3.577
ATOMIC_POSITIONS crystal
Si 0.000 0.500 0.000
Si 0.500 0.000 0.000
Rh 0.000 0.000 0.500
Pb 0.500 0.500 0.500
! Uncorrected formation energy = 0.457 eV per atom
! SG = Cmmm
! Total DFT energy (no corrections) = -20.08 eV per cell
! Total magnetic moment = 0.0000 μB/atom

=====

No. 3
! SiRh4Pb, optimized geometry, DFT PBE; values from VASP
&SYSTEM
  ibrav = 0, nat = 6, ntyp = 3
/
ATOMIC_SPECIES
Si 28.09 Si.upf
Rh 102.91 Rh.upf
Pb 207.20 Pb.upf
CELL_PARAMETERS angstrom
0.000 3.706 3.706
3.706 0.000 3.706
3.706 3.706 0.000
ATOMIC_POSITIONS crystal
Si 0.000 0.000 0.000
Rh 0.375 0.375 0.375
Rh 0.375 0.375 0.876
Rh 0.375 0.876 0.375
Rh 0.876 0.375 0.375
Pb 0.750 0.750 0.750
! Uncorrected formation energy = 0.274 eV per atom
! SG = F-43m
! Total DFT energy (no corrections) = -36.89 eV per cell
! Total magnetic moment = 0.0005 μB/atom

=====

No. 4
! Si2RhPb, optimized geometry, DFT PBE; values from VASP
&SYSTEM
  ibrav = 0, nat = 4, ntyp = 3
/
ATOMIC_SPECIES
Si 28.09 Si.upf
Rh 102.91 Rh.upf
Pb 207.20 Pb.upf
CELL_PARAMETERS angstrom
1.657 0.957 7.825
-1.657 0.957 7.825
0.000 -1.913 7.825
ATOMIC_POSITIONS crystal
Si 0.000 0.000 0.000
Si 0.259 0.259 0.259
Rh 0.727 0.727 0.727
Pb 0.492 0.492 0.492
! Uncorrected formation energy = 0.109 eV per atom
! SG = R3m
! Total DFT energy (no corrections) = -21.47 eV per cell
! Total magnetic moment = 0.0000 μB/atom

=====

No. 5
! Si2RhPb, optimized geometry, DFT PBE; values from VASP
&SYSTEM
  ibrav = 0, nat = 8, ntyp = 3
/
ATOMIC_SPECIES
Si 28.09 Si.upf
Rh 102.91 Rh.upf
Pb 207.20 Pb.upf
CELL_PARAMETERS angstrom
-2.317 2.317 7.956
2.317 -2.317 7.956
2.317 2.317 -7.956
ATOMIC_POSITIONS crystal
Si 0.375 0.225 0.350
Si 0.775 0.125 0.150
Si 0.875 0.025 0.650
Si 0.975 0.625 0.850
Rh 0.000 0.000 0.000
Rh 0.750 0.250 0.500
Pb 0.250 0.750 0.500
Pb 0.500 0.500 0.000
! Uncorrected formation energy = 0.048 eV per atom
! SG = I-42d
! Total DFT energy (no corrections) = -43.43 eV per cell
! Total magnetic moment = 0.0000 μB/atom

=====

No. 6
! Si2RhPb, optimized geometry, DFT PBE; values from VASP
&SYSTEM
  ibrav = 0, nat = 4, ntyp = 3
/
ATOMIC_SPECIES
Si 28.09 Si.upf
Rh 102.91 Rh.upf
Pb 207.20 Pb.upf
CELL_PARAMETERS angstrom
3.804 -1.816 0.000
3.804 1.816 0.000
-1.625 0.000 5.733
ATOMIC_POSITIONS crystal
Si 0.222 0.222 0.133
Si 0.778 0.778 0.867
Rh 0.500 0.500 0.000
Pb 0.000 0.000 0.500
! Uncorrected formation energy = -0.103 eV per atom
! SG = C2/m
! Total DFT energy (no corrections) = -22.32 eV per cell
! Total magnetic moment = 0.0000 μB/atom

=====

No. 7
! SiRhPb4, optimized geometry, DFT PBE; values from VASP
&SYSTEM
  ibrav = 0, nat = 6, ntyp = 3
/
ATOMIC_SPECIES
Si 28.09 Si.upf
Rh 102.91 Rh.upf
Pb 207.20 Pb.upf
CELL_PARAMETERS angstrom
0.000 4.402 4.402
4.402 0.000 4.402
4.402 4.402 0.000
ATOMIC_POSITIONS crystal
Si 0.000 0.000 0.000
Rh 0.250 0.250 0.250
Pb 0.126 0.625 0.625
Pb 0.625 0.126 0.625
Pb 0.625 0.625 0.126
Pb 0.625 0.625 0.625
! Uncorrected formation energy = 0.839 eV per atom
! SG = F-43m
! Total DFT energy (no corrections) = -22.57 eV per cell
! Total magnetic moment = 0.0000 μB/atom

=====

No. 8
! Si2RhPb, optimized geometry, DFT PBE; values from VASP
&SYSTEM
  ibrav = 0, nat = 4, ntyp = 3
/
ATOMIC_SPECIES
Si 28.09 Si.upf
Rh 102.91 Rh.upf
Pb 207.20 Pb.upf
CELL_PARAMETERS angstrom
3.746 0.000 0.000
0.000 3.939 0.000
0.000 0.000 4.954
ATOMIC_POSITIONS crystal
Si 0.000 0.000 0.000
Si 0.500 0.500 0.000
Rh 0.000 0.500 0.500
Pb 0.500 0.000 0.500
! Uncorrected formation energy = 0.424 eV per atom
! SG = Pmmm
! Total DFT energy (no corrections) = -20.21 eV per cell
! Total magnetic moment = 0.0000 μB/atom

=====

No. 9
! SiRhPb2, optimized geometry, DFT PBE; values from VASP
&SYSTEM
  ibrav = 0, nat = 4, ntyp = 3
/
ATOMIC_SPECIES
Si 28.09 Si.upf
Rh 102.91 Rh.upf
Pb 207.20 Pb.upf
CELL_PARAMETERS angstrom
-2.090 2.536 4.078
2.090 -2.536 4.078
2.090 2.536 -4.078
ATOMIC_POSITIONS crystal
Si 0.000 0.000 0.000
Rh 0.500 0.500 0.000
Pb 0.255 0.755 0.500
Pb 0.745 0.245 0.500
! Uncorrected formation energy = 0.375 eV per atom
! SG = Immm
! Total DFT energy (no corrections) = -18.69 eV per cell
! Total magnetic moment = 0.0000 μB/atom

=====

No. 10
! SiRhPb2, optimized geometry, DFT PBE; values from VASP
&SYSTEM
  ibrav = 0, nat = 4, ntyp = 3
/
ATOMIC_SPECIES
Si 28.09 Si.upf
Rh 102.91 Rh.upf
Pb 207.20 Pb.upf
CELL_PARAMETERS angstrom
1.779 1.027 8.150
-1.779 1.027 8.150
0.000 -2.054 8.150
ATOMIC_POSITIONS crystal
Si 0.000 0.000 0.000
Rh 0.500 0.500 0.500
Pb 0.245 0.245 0.245
Pb 0.755 0.755 0.755
! Uncorrected formation energy = 0.343 eV per atom
! SG = R-3m
! Total DFT energy (no corrections) = -18.82 eV per cell
! Total magnetic moment = 0.0000 μB/atom

=====

No. 11
! Si2RhPb, optimized geometry, DFT PBE; values from VASP
&SYSTEM
  ibrav = 0, nat = 4, ntyp = 3
/
ATOMIC_SPECIES
Si 28.09 Si.upf
Rh 102.91 Rh.upf
Pb 207.20 Pb.upf
CELL_PARAMETERS angstrom
-2.201 2.201 3.719
2.201 -2.201 3.719
2.201 2.201 -3.719
ATOMIC_POSITIONS crystal
Si 0.000 0.000 0.000
Si 0.750 0.250 0.500
Rh 0.500 0.500 0.000
Pb 0.250 0.750 0.500
! Uncorrected formation energy = 0.415 eV per atom
! SG = I-4m2
! Total DFT energy (no corrections) = -20.24 eV per cell
! Total magnetic moment = 0.0000 μB/atom

=====

No. 12
! SiRhPb2, optimized geometry, DFT PBE; values from VASP
&SYSTEM
  ibrav = 0, nat = 4, ntyp = 3
/
ATOMIC_SPECIES
Si 28.09 Si.upf
Rh 102.91 Rh.upf
Pb 207.20 Pb.upf
CELL_PARAMETERS angstrom
4.776 0.000 0.000
0.000 4.776 0.000
0.000 0.000 3.782
ATOMIC_POSITIONS crystal
Si 0.000 0.000 0.000
Rh 0.500 0.500 0.000
Pb 0.000 0.500 0.500
Pb 0.500 0.000 0.500
! Uncorrected formation energy = 0.385 eV per atom
! SG = P4/mmm
! Total DFT energy (no corrections) = -18.65 eV per cell
! Total magnetic moment = 0.0000 μB/atom

=====

No. 13
! SiRh2Pb2, optimized geometry, DFT PBE; values from VASP
&SYSTEM
  ibrav = 0, nat = 10, ntyp = 3
/
ATOMIC_SPECIES
Si 28.09 Si.upf
Rh 102.91 Rh.upf
Pb 207.20 Pb.upf
CELL_PARAMETERS angstrom
6.285 0.000 0.000
0.000 6.285 0.000
0.000 0.000 5.121
ATOMIC_POSITIONS crystal
Si 0.000 0.000 0.000
Si 0.500 0.500 0.000
Rh 0.156 0.344 0.000
Rh 0.344 0.844 0.000
Rh 0.656 0.156 0.000
Rh 0.844 0.656 0.000
Pb 0.176 0.676 0.500
Pb 0.324 0.176 0.500
Pb 0.676 0.824 0.500
Pb 0.824 0.324 0.500
! Uncorrected formation energy = -0.073 eV per atom
! SG = P4/mbm
! Total DFT energy (no corrections) = -55.81 eV per cell
! Total magnetic moment = 0.0000 μB/atom

=====

No. 14
! SiRhPb2, optimized geometry, DFT PBE; values from VASP
&SYSTEM
  ibrav = 0, nat = 4, ntyp = 3
/
ATOMIC_SPECIES
Si 28.09 Si.upf
Rh 102.91 Rh.upf
Pb 207.20 Pb.upf
CELL_PARAMETERS angstrom
0.000 3.515 3.515
3.515 0.000 3.515
3.515 3.515 0.000
ATOMIC_POSITIONS crystal
Si 0.000 0.000 0.000
Rh 0.750 0.750 0.750
Pb 0.250 0.250 0.250
Pb 0.500 0.500 0.500
! Uncorrected formation energy = 0.429 eV per atom
! SG = F-43m
! Total DFT energy (no corrections) = -18.48 eV per cell
! Total magnetic moment = 0.0000 μB/atom

=====

No. 15
! Si2RhPb, optimized geometry, DFT PBE; values from VASP
&SYSTEM
  ibrav = 0, nat = 4, ntyp = 3
/
ATOMIC_SPECIES
Si 28.09 Si.upf
Rh 102.91 Rh.upf
Pb 207.20 Pb.upf
CELL_PARAMETERS angstrom
-1.767 2.616 4.023
1.767 -2.616 4.023
1.767 2.616 -4.023
ATOMIC_POSITIONS crystal
Si 0.000 0.000 0.000
Si 0.780 0.280 0.500
Rh 0.583 0.583 0.000
Pb 0.288 0.788 0.500
! Uncorrected formation energy = 0.249 eV per atom
! SG = Imm2
! Total DFT energy (no corrections) = -20.91 eV per cell
! Total magnetic moment = 0.0000 μB/atom

=====

No. 16
! SiSnRhPb2, optimized geometry, DFT PBE; values from VASP
&SYSTEM
  ibrav = 0, nat = 5, ntyp = 4
/
ATOMIC_SPECIES
Si 28.09 Si.upf
Sn 118.71 Sn.upf
Rh 102.91 Rh.upf
Pb 207.20 Pb.upf
CELL_PARAMETERS angstrom
5.274 0.000 0.000
0.000 5.274 0.000
0.000 0.000 5.088
ATOMIC_POSITIONS crystal
Si 0.000 0.000 0.000
Sn 0.500 0.500 0.000
Rh 0.500 0.500 0.500
Pb 0.000 0.500 0.500
Pb 0.500 0.000 0.500
! Uncorrected formation energy = 0.401 eV per atom
! SG = P4/mmm
! Total DFT energy (no corrections) = -22.19 eV per cell
! Total magnetic moment = 0.0000 μB/atom

=====

No. 17
! Tb2Si2Rh5Pb, optimized geometry, DFT PBE; values from VASP
&SYSTEM
  ibrav = 0, nat = 20, ntyp = 4
/
ATOMIC_SPECIES
Tb 158.93 Tb.upf
Si 28.09 Si.upf
Rh 102.91 Rh.upf
Pb 207.20 Pb.upf
CELL_PARAMETERS angstrom
9.882 0.000 0.000
0.000 9.882 0.000
0.000 0.000 3.566
ATOMIC_POSITIONS crystal
Tb 0.176 0.324 0.000
Tb 0.324 0.824 0.000
Tb 0.676 0.176 0.000
Tb 0.824 0.676 0.000
Si 0.120 0.620 0.000
Si 0.380 0.120 0.000
Si 0.620 0.880 0.000
Si 0.880 0.380 0.000
Rh 0.000 0.500 0.500
Rh 0.070 0.778 0.500
Rh 0.222 0.070 0.500
Rh 0.278 0.570 0.500
Rh 0.430 0.278 0.500
Rh 0.500 0.000 0.500
Rh 0.570 0.722 0.500
Rh 0.722 0.430 0.500
Rh 0.778 0.930 0.500
Rh 0.930 0.222 0.500
Pb 0.000 0.000 0.000
Pb 0.500 0.500 0.000
! Uncorrected formation energy = -0.871 eV per atom
! SG = P4/mbm
! Total DFT energy (no corrections) = -138.56 eV per cell
! Total magnetic moment = 0.0000 μB/atom

=====

No. 18
! SiTe2RhPb, optimized geometry, DFT PBE; values from VASP
&SYSTEM
  ibrav = 0, nat = 5, ntyp = 4
/
ATOMIC_SPECIES
Si 28.09 Si.upf
Te 127.60 Te.upf
Rh 102.91 Rh.upf
Pb 207.20 Pb.upf
CELL_PARAMETERS angstrom
5.449 0.000 0.000
0.000 5.449 0.000
0.000 0.000 4.493
ATOMIC_POSITIONS crystal
Si 0.000 0.000 0.000
Te 0.000 0.500 0.000
Te 0.500 0.000 0.000
Rh 0.000 0.000 0.500
Pb 0.500 0.500 0.500
! Uncorrected formation energy = 0.259 eV per atom
! SG = P4/mmm
! Total DFT energy (no corrections) = -21.47 eV per cell
! Total magnetic moment = 0.0000 μB/atom

=====

No. 19
! Tm2Si2Rh5Pb, optimized geometry, DFT PBE; values from VASP
&SYSTEM
  ibrav = 0, nat = 20, ntyp = 4
/
ATOMIC_SPECIES
Tm 168.93 Tm.upf
Si 28.09 Si.upf
Rh 102.91 Rh.upf
Pb 207.20 Pb.upf
CELL_PARAMETERS angstrom
9.767 0.000 0.000
0.000 9.767 0.000
0.000 0.000 3.570
ATOMIC_POSITIONS crystal
Tm 0.176 0.324 0.000
Tm 0.324 0.824 0.000
Tm 0.676 0.176 0.000
Tm 0.824 0.676 0.000
Si 0.121 0.621 0.000
Si 0.379 0.121 0.000
Si 0.621 0.879 0.000
Si 0.879 0.379 0.000
Rh 0.000 0.500 0.500
Rh 0.071 0.780 0.500
Rh 0.220 0.071 0.500
Rh 0.280 0.571 0.500
Rh 0.429 0.280 0.500
Rh 0.500 0.000 0.500
Rh 0.571 0.720 0.500
Rh 0.720 0.429 0.500
Rh 0.780 0.929 0.500
Rh 0.929 0.220 0.500
Pb 0.000 0.000 0.000
Pb 0.500 0.500 0.000
! Uncorrected formation energy = -0.892 eV per atom
! SG = P4/mbm
! Total DFT energy (no corrections) = -138.35 eV per cell
! Total magnetic moment = 0.0000 μB/atom

=====

No. 20
! SiRhPb2W, optimized geometry, DFT PBE; values from VASP
&SYSTEM
  ibrav = 0, nat = 5, ntyp = 4
/
ATOMIC_SPECIES
Si 28.09 Si.upf
Rh 102.91 Rh.upf
Pb 207.20 Pb.upf
W 183.84 W.upf
CELL_PARAMETERS angstrom
5.152 0.000 0.000
0.000 5.152 0.000
0.000 0.000 4.555
ATOMIC_POSITIONS crystal
Si 0.000 0.000 0.000
Rh 0.500 0.500 0.500
Pb 0.000 0.500 0.000
Pb 0.500 0.000 0.000
W 0.000 0.000 0.500
! Uncorrected formation energy = 1.440 eV per atom
! SG = P4/mmm
! Total DFT energy (no corrections) = -25.94 eV per cell
! Total magnetic moment = 0.0001 μB/atom

=====

No. 21
! SiRhPb2W, optimized geometry, DFT PBE; values from VASP
&SYSTEM
  ibrav = 0, nat = 5, ntyp = 4
/
ATOMIC_SPECIES
Si 28.09 Si.upf
Rh 102.91 Rh.upf
Pb 207.20 Pb.upf
W 183.84 W.upf
CELL_PARAMETERS angstrom
5.347 0.000 0.000
0.000 5.347 0.000
0.000 0.000 4.780
ATOMIC_POSITIONS crystal
Si 0.000 0.000 0.000
Rh 0.500 0.500 0.000
Pb 0.000 0.500 0.500
Pb 0.500 0.000 0.500
W 0.500 0.500 0.500
! Uncorrected formation energy = 1.260 eV per atom
! SG = P4/mmm
! Total DFT energy (no corrections) = -26.84 eV per cell
! Total magnetic moment = 0.0000 μB/atom

=====

No. 22
! Sm3RhPb2, optimized geometry, DFT PBE; values from VASP
&SYSTEM
  ibrav = 0, nat = 12, ntyp = 3
/
ATOMIC_SPECIES
Sm 150.36 Sm.upf
Rh 102.91 Rh.upf
Pb 207.20 Pb.upf
CELL_PARAMETERS angstrom
6.820 -3.148 0.000
6.820 3.148 0.000
-2.429 0.000 7.941
ATOMIC_POSITIONS crystal
Sm 0.186 0.814 0.750
Sm 0.232 0.444 0.367
Sm 0.444 0.232 0.867
Sm 0.556 0.768 0.133
Sm 0.768 0.556 0.633
Sm 0.814 0.186 0.250
Rh 0.354 0.646 0.250
Rh 0.646 0.354 0.750
Pb 0.030 0.271 0.011
Pb 0.271 0.030 0.511
Pb 0.729 0.970 0.489
Pb 0.970 0.729 0.989
! SG = C2/c
! Formation enthalpy at 0 K = -498 meV/atom
! Total DFT energy (no corrections) = -63.82 eV per cell
! Total magnetic moment = 0.0000 μB/atom

=====

No. 23
! Sm2Rh2Pb, optimized geometry, DFT PBE; values from VASP
&SYSTEM
  ibrav = 0, nat = 5, ntyp = 3
/
ATOMIC_SPECIES
Sm 150.36 Sm.upf
Rh 102.91 Rh.upf
Pb 207.20 Pb.upf
CELL_PARAMETERS angstrom
-2.284 2.992 4.198
2.284 -2.992 4.198
2.284 2.992 -4.198
ATOMIC_POSITIONS crystal
Sm 0.207 0.207 0.000
Sm 0.793 0.793 0.000
Rh 0.220 0.500 0.720
Rh 0.780 0.500 0.280
Pb 0.500 0.000 0.500
! SG = Immm
! Formation enthalpy at 0 K = -653 meV/atom
! Total DFT energy (no corrections) = -31.12 eV per cell
! Total magnetic moment = 0.0000 μB/atom

=====

No. 24
! Sm6Rh2Pb, optimized geometry, DFT PBE; values from VASP
&SYSTEM
  ibrav = 0, nat = 18, ntyp = 3
/
ATOMIC_SPECIES
Sm 150.36 Sm.upf
Rh 102.91 Rh.upf
Pb 207.20 Pb.upf
CELL_PARAMETERS angstrom
-4.783 4.994 5.327
4.783 -4.994 5.327
4.783 4.994 -5.327
ATOMIC_POSITIONS crystal
Sm 0.029 0.234 0.796
Sm 0.181 0.294 0.475
Sm 0.181 0.706 0.887
Sm 0.329 0.020 0.691
Sm 0.329 0.639 0.309
Sm 0.438 0.234 0.204
Sm 0.562 0.766 0.796
Sm 0.671 0.361 0.691
Sm 0.671 0.980 0.309
Sm 0.819 0.294 0.113
Sm 0.819 0.706 0.525
Sm 0.971 0.766 0.204
Rh 0.133 0.633 0.500
Rh 0.339 0.000 0.339
Rh 0.661 0.000 0.661
Rh 0.867 0.367 0.500
Pb 0.000 0.000 0.000
Pb 0.500 0.500 0.000
! SG = Immm
! Formation enthalpy at 0 K = -522 meV/atom
! Total DFT energy (no corrections) = -102.84 eV per cell
! Total magnetic moment = 0.0000 μB/atom

=====

No. 25
! Sm4Rh2Pb, optimized geometry, DFT PBE; values from VASP
&SYSTEM
  ibrav = 0, nat = 7, ntyp = 3
/
ATOMIC_SPECIES
Sm 150.36 Sm.upf
Rh 102.91 Rh.upf
Pb 207.20 Pb.upf
CELL_PARAMETERS angstrom
2.357 1.361 10.171
-2.357 1.361 10.171
0.000 -2.722 10.171
ATOMIC_POSITIONS crystal
Sm 0.113 0.113 0.113
Sm 0.298 0.298 0.298
Sm 0.702 0.702 0.702
Sm 0.887 0.887 0.887
Rh 0.400 0.400 0.400
Rh 0.600 0.600 0.600
Pb 0.500 0.500 0.500
! SG = R-3m
! Formation enthalpy at 0 K = -531 meV/atom
! Total DFT energy (no corrections) = -41.00 eV per cell
! Total magnetic moment = 0.0000 μB/atom